## Sc2GeAsW (PBE)

Data for an optimized crystal structure of Sc2GeAsW.

Geometry as extended XYZ:
```
5
Lattice="4.971 0.000 0.000 0.000 4.971 0.000 0.000 0.000 4.616" Properties=species:S:1:pos:R:3 pbc="T T T"
Sc 0.000 2.486 0.000
Sc 2.486 0.000 0.000
Ge 0.000 0.000 2.308
As 2.486 2.486 0.000
W 2.486 2.486 2.308
```

Values from the calculation:
DOS at the Fermi energy (states/eV per atom): 0.5910
Crystal system: tetragonal
VASP energy (eV/atom): -6.685

## Cs2SeI4 (PBE)

Data for an optimized crystal structure of Cs2SeI4.

Geometry as extended XYZ:
```
7
Lattice="-3.097 3.097 9.218 3.097 -3.097 9.218 3.097 3.097 -9.218" Properties=species:S:1:pos:R:3 pbc="T T T"
Cs 0.000 0.000 2.438
Cs 0.000 0.000 15.998
Se 0.000 0.000 9.218
I 3.097 0.000 0.000
I 0.000 0.000 6.388
I 0.000 3.097 0.000
I 0.000 0.000 12.048
```

Values from the calculation:
DOS at the Fermi energy (states/eV per atom): 0.3797
Crystal system: tetragonal
Uncorrected formation energy (meV/atom): -843.3
Polymorph energy (0 for the lowest one) (eV/f.u.): 0.38

## La4SbTe2 (PBE)

Data for an optimized crystal structure of La4SbTe2.

Geometry as extended XYZ:
```
7
Lattice="-2.995 2.995 8.004 2.995 -2.995 8.004 2.995 2.995 -8.004" Properties=species:S:1:pos:R:3 pbc="T T T"
La 2.995 0.000 0.000
La 0.000 0.000 3.131
La 0.000 2.995 0.000
La 0.000 0.000 12.876
Sb 0.000 0.000 0.000
Te 0.000 0.000 6.216
Te 0.000 0.000 9.792
```

Values from the calculation:
DOS at the Fermi energy (states/eV per atom): 1.0903
Crystal system: tetragonal
Uncorrected formation energy (meV/atom): -731.1

## Sm8ErSn2 (PBE)

Data for an optimized crystal structure of Sm8ErSn2.

Geometry as extended XYZ:
```
11
Lattice="8.246 -3.408 0.000 8.246 3.408 0.000 -0.543 0.000 6.352" Properties=species:S:1:pos:R:3 pbc="T T T"
Sm 1.160 0.000 2.514
Sm 6.567 1.736 0.615
Sm 4.415 0.000 4.231
Sm 9.383 1.736 5.737
Sm 6.567 -1.736 0.615
Sm 11.535 0.000 2.122
Sm 9.383 -1.736 5.737
Sm 14.790 0.000 3.838
Er 7.975 0.000 3.176
Sn 3.930 0.000 1.066
Sn 12.020 0.000 5.286
```

Values from the calculation:
DOS at the Fermi energy (states/eV per atom): 1.3555
Crystal system: monoclinic
VASP energy (eV/atom): -4.747

## Ba2TlHg5 (PBE)

Data for an optimized crystal structure of Ba2TlHg5.

Geometry as extended XYZ:
```
16
Lattice="2.610 -9.450 0.000 2.610 9.450 0.000 0.000 0.000 10.489" Properties=species:S:1:pos:R:3 pbc="T T T"
Ba 0.000 0.000 0.000
Ba 0.000 0.000 5.244
Ba 2.610 5.552 7.867
Ba 2.610 -5.552 2.622
Tl 2.610 1.041 2.622
Tl 2.610 -1.041 7.867
Hg 2.610 5.905 1.092
Hg 2.610 5.905 4.152
Hg 2.610 2.803 0.238
Hg 2.610 2.803 5.006
Hg 2.610 1.884 7.867
Hg 2.610 -1.884 2.622
Hg 2.610 -2.803 5.483
Hg 2.610 -2.803 10.251
Hg 2.610 -5.905 6.337
Hg 2.610 -5.905 9.397
```

Values from the calculation:
DOS at the Fermi energy (states/eV per atom): 0.7766
Crystal system: orthorhombic
VASP energy (eV/atom): -1.332

## BaMn3 (PBE)

Data for an optimized crystal structure of BaMn3.

Geometry as extended XYZ:
```
16
Lattice="7.189 0.000 0.000 -3.595 6.226 0.000 0.000 0.000 8.687" Properties=species:S:1:pos:R:3 pbc="T T T"
Ba 0.000 0.000 0.000
Ba 0.000 0.000 4.343
Ba 0.000 4.151 2.172
Ba 3.595 2.075 6.515
Mn -1.797 3.113 0.000
Mn -1.797 3.113 4.343
Mn 0.000 2.679 6.515
Mn -1.275 4.887 6.515
Mn 2.320 1.339 2.172
Mn 3.595 0.000 0.000
Mn 3.595 0.000 4.343
Mn 1.797 3.113 0.000
Mn 1.797 3.113 4.343
Mn 1.275 4.887 6.515
Mn 4.869 1.339 2.172
Mn 3.595 3.547 2.172
```

Values from the calculation:
DOS at the Fermi energy (states/eV per atom): 1.0122
Crystal system: hexagonal
Polymorph energy (0 for the lowest one) (eV/f.u.): 1.25